Below is a geometry-optimized LaBeGaSe2 structure, with properties calculated at the PBE-GGA level.

## Properties
Calculated volume in Å³/cell: 119.26
E_form (uncorrected) in eV/atom: -0.608
Symmetry: P4/mmm, No. 123

a b c (Å): 5.1341 4.5243 5.1341
angles (deg): 90.00 90.00 90.00
Sites, in units of the cell vectors:
Be  0.0000  0.0000  0.0000
Ga  0.0000  0.5000  0.0000
Se  0.0000  0.0000  0.5000
Se  0.5000  0.0000  0.0000
La  0.5000  0.5000  0.5000